Record 1
## MnRuNO (PBE with a Hubbard U)

Data for MnRuNO after structural relaxation.

Lattice parameters (Å, degrees): 2.915 2.818 10.997 90.00 90.00 90.00
Atoms (fractional coordinates):
Mn1 0.000 0.000 0.790
Mn2 0.000 0.500 0.290
Ru1 0.500 0.000 0.015
Ru2 0.500 0.500 0.515
N1 0.500 0.000 0.384
N2 0.500 0.500 0.884
O1 0.500 0.000 0.653
O2 0.500 0.500 0.153

Calculated values
SG	Amm2
crystal system	orthorhombic
energy	-7.769	eV/atom
theoretical density	6.839	Mg/m³

Record 2
## LiCoN2O (PBE with a Hubbard U)

Data for LiCoN2O after structural relaxation.

Lattice parameters (Å, degrees): 3.568 3.568 3.589 90.00 90.00 90.00
Atoms (fractional coordinates):
Li1 0.000 0.000 0.000
Co1 0.500 0.500 0.500
O1 0.000 0.000 0.500
N1 0.000 0.500 0.000
N2 0.500 0.000 0.000

Calculated values
SG	P4/mmm
crystal system	tetragonal
energy	-4.165	eV/atom
theoretical density	3.995	Mg/m³